1.
Material: Si2RuSe
Method: DFT, PBE
State: optimized geometry

a b c (Å): 3.008 3.008 7.227
angles (deg): 90.00 90.00 90.00
Element x y z (fractional)
Ru1 0.000 0.000 0.456
Se1 0.500 0.500 0.697
Si1 0.000 0.000 0.074
Si2 0.500 0.500 0.273

Results
energy relative to the elements, uncorrected = 0.12 eV/atom
total energy = -23.107 eV/cell
ρ = 6.0 g cm⁻³

2.
Material: SiRuSe2
Method: DFT, PBE
State: optimized geometry

a b c (Å): 4.267 4.267 6.548
angles (deg): 83.42 83.42 49.57
Element x y z (fractional)
Ru1 0.261 0.261 0.349
Se1 0.963 0.963 0.121
Se2 0.724 0.724 0.641
Si1 0.551 0.551 0.388

Results
energy relative to the elements, uncorrected = -0.14 eV/atom
total energy = -22.226 eV/cell
ρ = 5.3 g cm⁻³

3.
Material: SiRuSe2
Method: DFT, PBE
State: optimized geometry

a b c (Å): 4.497 4.498 4.496
angles (deg): 70.23 71.15 109.78
Element x y z (fractional)
Ru1 0.500 0.500 0.000
Se1 0.000 0.000 0.000
Se2 0.500 0.000 0.500
Si1 0.000 0.500 0.500

Results
energy relative to the elements, uncorrected = 0.25 eV/atom
total energy = -20.687 eV/cell
ρ = 6.8 g cm⁻³

4.
Material: TaSi2RuSe
Method: DFT, PBE
State: optimized geometry

a b c (Å): 4.572 4.668 4.572
angles (deg): 90.00 90.00 90.00
Element x y z (fractional)
Ru1 0.500 0.500 0.500
Si1 0.000 0.000 0.500
Si2 0.500 0.000 0.000
Se1 0.000 0.000 0.000
Ta1 0.000 0.500 0.000

Results
energy relative to the elements, uncorrected = 1.52 eV/atom
total energy = -27.845 eV/cell
ρ = 7.1 g cm⁻³